(1)
Tm3CuPd3 | PBE-GGA | relaxed

Values from the calculation:
N(E_F): 2.24 states/eV/cell
Formation energy from the elements: -5.371 eV/f.u.

abc: 9.757 9.757 9.757
angles: 158.13 155.13 33.35
Sites, in units of the cell vectors:
Tm 0.000 0.000 0.000
Tm 0.374 0.374 0.000
Tm 0.684 0.184 0.500
Cu 0.255 0.755 0.500
Pd 0.123 0.623 0.500
Pd 0.528 0.528 0.000
Pd 0.836 0.836 0.000

---

(2)
TbPr2Tm7 | PBE-GGA | relaxed

Values from the calculation:
Energy above the most stable polymorph in this dataset: 12.82 kJ/mol of atoms
N(E_F): 14.98 states/eV/cell
Formation energy from the elements: 1.595 eV/f.u.

abc: 14.703 14.703 3.501
angles: 90.00 90.00 154.69
Sites, in units of the cell vectors:
Tb 0.000 0.000 0.000
Pr 0.292 0.708 0.500
Pr 0.708 0.292 0.500
Tm 0.149 0.344 0.500
Tm 0.183 0.817 0.000
Tm 0.344 0.149 0.500
Tm 0.500 0.500 0.500
Tm 0.656 0.851 0.500
Tm 0.817 0.183 0.000
Tm 0.851 0.656 0.500

---

Which value of formation energy from the elements does entry 1 give?
-5.371 eV/f.u.

---

What is the formation energy from the elements in the second record?
1.595 eV/f.u.

---

The highest formation energy from the elements belongs to which entry?
TbPr2Tm7

---

The highest N(E_F) belongs to which entry?
TbPr2Tm7